DFT (PBE) results for crystalline Be3NiIr at its relaxed geometry.

Values from the calculation:
The volume comes out at 55.6 Å³/cell. The energy above the lowest structure with this stoichiometry comes out at 0 kJ/mol of formula units. The calculation puts the total DFT energy (no corrections) at -4.7577 eV per atom.

Cell and atoms, written as CIF:
```
data_Be3NiIr
_cell_length_a 3.816
_cell_length_b 3.816
_cell_length_c 3.816
_cell_angle_alpha 90.00
_cell_angle_beta 90.00
_cell_angle_gamma 90.00
_symmetry_space_group_name_H-M 'P 1'
_symmetry_Int_Tables_number 1
loop_
_symmetry_equiv_pos_as_xyz
'x,y,z'
loop_
_atom_site_label
_atom_site_type_symbol
_atom_site_fract_x
_atom_site_fract_y
_atom_site_fract_z
_atom_site_occupancy
Be1 Be 0.000 0.000 0.500 1
Be2 Be 0.000 0.500 0.000 1
Be3 Be 0.500 0.000 0.000 1
Ir1 Ir 0.500 0.500 0.500 1
Ni1 Ni 0.000 0.000 0.000 1
```

DFT (PBE) results for crystalline DyEr6Rh2 at its relaxed geometry.

Values from the calculation:
The volume comes out at 240.5 Å³/cell. The calculation puts the total DFT energy (no corrections) at -5.6101 eV per atom.

Cell and atoms, written as CIF:
```
data_DyEr6Rh2
_cell_length_a 3.709
_cell_length_b 8.118
_cell_length_c 8.465
_cell_angle_alpha 80.74
_cell_angle_beta 77.34
_cell_angle_gamma 76.79
_symmetry_space_group_name_H-M 'P 1'
_symmetry_Int_Tables_number 1
loop_
_symmetry_equiv_pos_as_xyz
'x,y,z'
loop_
_atom_site_label
_atom_site_type_symbol
_atom_site_fract_x
_atom_site_fract_y
_atom_site_fract_z
_atom_site_occupancy
Er1 Er 0.274 0.337 0.115 1
Er2 Er 0.726 0.663 0.885 1
Dy1 Dy 0.000 0.500 0.500 1
Rh1 Rh 0.598 0.575 0.229 1
Er3 Er 0.980 0.851 0.189 1
Er4 Er 0.694 0.165 0.446 1
Rh2 Rh 0.402 0.425 0.771 1
Er5 Er 0.020 0.149 0.811 1
Er6 Er 0.306 0.835 0.554 1
```

DFT (PBE) results for crystalline TcPdS2 at its relaxed geometry.

Values from the calculation:
The volume comes out at 65.5 Å³/cell. The energy above the lowest structure with this stoichiometry comes out at 0 kJ/mol of formula units. The calculation puts the total DFT energy (no corrections) at -6.2086 eV per atom. As for the formation energy without anion corrections: -0.255 eV/atom.

Cell and atoms, written as CIF:
```
data_TcPdS2
_cell_length_a 8.015
_cell_length_b 8.015
_cell_length_c 8.015
_cell_angle_alpha 22.39
_cell_angle_beta 22.39
_cell_angle_gamma 22.39
_symmetry_space_group_name_H-M 'P 1'
_symmetry_Int_Tables_number 1
loop_
_symmetry_equiv_pos_as_xyz
'x,y,z'
loop_
_atom_site_label
_atom_site_type_symbol
_atom_site_fract_x
_atom_site_fract_y
_atom_site_fract_z
_atom_site_occupancy
Pd1 Pd 0.000 0.000 0.000 1
S1 S 0.098 0.098 0.098 1
S2 S 0.902 0.902 0.902 1
Tc1 Tc 0.500 0.500 0.500 1
```

DFT (PBE) results for crystalline Sm2PuTc at its relaxed geometry.

Values from the calculation:
The volume comes out at 109.7 Å³/cell. The energy above the lowest structure with this stoichiometry comes out at 182 kJ/mol of formula units. The calculation puts the total DFT energy (no corrections) at -8.0951 eV per atom.

Cell and atoms, written as CIF:
```
data_Sm2PuTc
_cell_length_a 3.410
_cell_length_b 3.410
_cell_length_c 11.071
_cell_angle_alpha 81.14
_cell_angle_beta 81.14
_cell_angle_gamma 60.00
_symmetry_space_group_name_H-M 'P 1'
_symmetry_Int_Tables_number 1
loop_
_symmetry_equiv_pos_as_xyz
'x,y,z'
loop_
_atom_site_label
_atom_site_type_symbol
_atom_site_fract_x
_atom_site_fract_y
_atom_site_fract_z
_atom_site_occupancy
Tc1 Tc 0.500 0.500 0.500 1
Sm1 Sm 0.103 0.103 0.692 1
Sm2 Sm 0.897 0.897 0.308 1
Pu1 Pu 0.000 0.000 0.000 1
```

DFT (PBE) results for crystalline ZrZn2Te at its relaxed geometry.

Values from the calculation:
The volume comes out at 80.6 Å³/cell. The calculation puts the total DFT energy (no corrections) at -3.8764 eV per atom. As for the formation energy without anion corrections: -0.317 eV/atom.

Cell and atoms, written as CIF:
```
data_ZrZn2Te
_cell_length_a 3.633
_cell_length_b 3.633
_cell_length_c 6.105
_cell_angle_alpha 90.00
_cell_angle_beta 90.00
_cell_angle_gamma 90.00
_symmetry_space_group_name_H-M 'P 1'
_symmetry_Int_Tables_number 1
loop_
_symmetry_equiv_pos_as_xyz
'x,y,z'
loop_
_atom_site_label
_atom_site_type_symbol
_atom_site_fract_x
_atom_site_fract_y
_atom_site_fract_z
_atom_site_occupancy
Zr1 Zr 0.000 0.000 0.498 1
Zn1 Zn 0.000 0.000 0.033 1
Zn2 Zn 0.500 0.500 0.227 1
Te1 Te 0.500 0.500 0.741 1
```

DFT (PBE) results for crystalline Tl2CuW at its relaxed geometry.

Values from the calculation:
The volume comes out at 78.2 Å³/cell. The energy above the lowest structure with this stoichiometry comes out at 119 kJ/mol of formula units. The calculation puts the total DFT energy (no corrections) at -4.4954 eV per atom.

Cell and atoms, written as CIF:
```
data_Tl2CuW
_cell_length_a 4.523
_cell_length_b 2.978
_cell_length_c 5.820
_cell_angle_alpha 86.22
_cell_angle_beta 90.00
_cell_angle_gamma 90.00
_symmetry_space_group_name_H-M 'P 1'
_symmetry_Int_Tables_number 1
loop_
_symmetry_equiv_pos_as_xyz
'x,y,z'
loop_
_atom_site_label
_atom_site_type_symbol
_atom_site_fract_x
_atom_site_fract_y
_atom_site_fract_z
_atom_site_occupancy
Cu1 Cu 0.500 0.750 0.750 1
Tl1 Tl 0.000 0.895 0.999 1
Tl2 Tl 0.000 0.605 0.501 1
W1 W 0.500 0.250 0.250 1
```

Q: The lowest total DFT energy (no corrections) belongs to which entry?
A: Sm2PuTc

Repeat the second record exactly.
DFT (PBE) results for crystalline DyEr6Rh2 at its relaxed geometry.

Values from the calculation:
The volume comes out at 240.5 Å³/cell. The calculation puts the total DFT energy (no corrections) at -5.6101 eV per atom.

Cell and atoms, written as CIF:
```
data_DyEr6Rh2
_cell_length_a 3.709
_cell_length_b 8.118
_cell_length_c 8.465
_cell_angle_alpha 80.74
_cell_angle_beta 77.34
_cell_angle_gamma 76.79
_symmetry_space_group_name_H-M 'P 1'
_symmetry_Int_Tables_number 1
loop_
_symmetry_equiv_pos_as_xyz
'x,y,z'
loop_
_atom_site_label
_atom_site_type_symbol
_atom_site_fract_x
_atom_site_fract_y
_atom_site_fract_z
_atom_site_occupancy
Er1 Er 0.274 0.337 0.115 1
Er2 Er 0.726 0.663 0.885 1
Dy1 Dy 0.000 0.500 0.500 1
Rh1 Rh 0.598 0.575 0.229 1
Er3 Er 0.980 0.851 0.189 1
Er4 Er 0.694 0.165 0.446 1
Rh2 Rh 0.402 0.425 0.771 1
Er5 Er 0.020 0.149 0.811 1
Er6 Er 0.306 0.835 0.554 1
```